This record from Alexandria via LeMat-Bulk describes a relaxed structure of LiZrFe2. The functional is PBE.

Values from the calculation:
The density of states at the Fermi level comes out at 3.60 states/eV/cell. Its formation enthalpy at 0 K is 0.153 eV/atom. The calculation puts the total DFT energy (no corrections) at -6.69 eV per atom. Its total magnetization is 3.35 μB per formula unit.

Geometry as POSCAR:
```
LiZrFe2
1.0
-4.758 0.314 1.777
-3.492 -2.522 2.708
-0.273 1.195 4.009
Fe Li Zr
2 1 1
direct
0.026 0.026 0.974
0.728 0.728 0.772
0.486 0.486 0.514
0.260 0.260 0.240
```